Here is a geometry-optimized CsK2Ag structure from the Alexandria database. Energies are from PBE.

Cell lengths 10.164, 8.941, 11.437 Å; angles 90.00, 108.87, 90.00 degrees
Space group P2_1/c (No. 14)
Inequivalent atoms, fractional coordinates:
Cs 0.070 0.002 0.219 x4
K 0.315 0.120 0.629 x4
K 0.359 0.678 0.505 x4
Ag 0.050 0.651 0.016 x4

Spin magnetization = 0.0 Bohr magnetons per cell
Uncorrected energy = -23.0 eV/cell
Calculated density = 2.2 Mg/m³